VASP calculation (GGA+U) on an optimized crystal structure of Cr3WF.

Computed properties:
The volume comes out at 87.4 Å³ per cell. For the distance to the lowest polymorph of the same formula, the calculation gives 0 meV per atom.

Cell: 4.437 4.437 4.437 Å, 90.00 90.00 90.00°
Fractional coordinates of all 5 atoms:
Cr 0.500 0.000 0.000
Cr 0.000 0.500 0.000
Cr 0.000 0.000 0.500
W 0.500 0.500 0.500
F 0.000 0.000 0.000

---

VASP calculation (GGA+U) on an optimized crystal structure of Cr2WF.

Computed properties:
The volume comes out at 138.8 Å³ per cell. For the distance to the lowest polymorph of the same formula, the calculation gives 0 meV per atom.

Cell: 7.222 7.222 5.758 Å, 51.16 51.16 90.00°
Fractional coordinates of all 8 atoms:
Cr 0.189 0.625 0.250
Cr 0.561 0.125 0.250
Cr 0.875 0.811 0.750
Cr 0.375 0.439 0.750
F 0.500 0.500 0.000
F 0.250 0.750 0.500
W 0.000 0.000 0.000
W 0.750 0.250 0.500

---

VASP calculation (GGA+U) on an optimized crystal structure of CrW3F.

Computed properties:
The calculation puts the calculated total energy at -4.195 eV per atom. The volume comes out at 126.9 Å³ per cell.

Cell: 5.025 5.025 5.025 Å, 90.00 90.00 90.00°
Fractional coordinates of all 5 atoms:
Cr 0.000 0.000 0.000
W 0.500 0.000 0.000
W 0.000 0.500 0.000
W 0.000 0.000 0.500
F 0.500 0.500 0.500

---

VASP calculation (GGA+U) on an optimized crystal structure of CrWF6.

Computed properties:
The calculation puts the calculated total energy at -5.905 eV per atom. The volume comes out at 112.3 Å³ per cell.

Cell: 5.239 5.240 5.610 Å, 62.12 62.14 59.97°
Fractional coordinates of all 8 atoms:
F 0.391 0.737 0.740
F 0.868 0.609 0.261
F 0.737 0.132 0.740
F 0.263 0.868 0.260
F 0.609 0.263 0.260
F 0.132 0.391 0.739
Cr 0.500 0.500 0.500
W 0.000 0.000 0.000

---

VASP calculation (GGA+U) on an optimized crystal structure of Cr2WF.

Computed properties:
The volume comes out at 68.5 Å³ per cell. For the distance to the lowest polymorph of the same formula, the calculation gives 217 meV per atom.

Cell: 4.593 4.593 4.593 Å, 60.00 60.00 60.00°
Fractional coordinates of all 4 atoms:
Cr 0.750 0.750 0.750
Cr 0.250 0.250 0.250
F 0.000 0.000 0.000
W 0.500 0.500 0.500

---

VASP calculation (GGA+U) on an optimized crystal structure of YCr2F2.

Computed properties:
The volume comes out at 87.4 Å³ per cell. For the distance to the lowest polymorph of the same formula, the calculation gives 716 meV per atom.

Cell: 3.812 3.812 6.593 Å, 73.20 73.20 90.00°
Fractional coordinates of all 5 atoms:
Cr 0.750 0.250 0.500
Cr 0.250 0.750 0.500
F 0.596 0.596 0.808
F 0.404 0.404 0.192
Y 0.000 0.000 0.000

---

VASP calculation (GGA+U) on an optimized crystal structure of Y3CrF.

Computed properties:
The volume comes out at 118.0 Å³ per cell. For the distance to the lowest polymorph of the same formula, the calculation gives 0 meV per atom.

Cell: 4.904 4.904 4.904 Å, 90.00 90.00 90.00°
Fractional coordinates of all 5 atoms:
Cr 0.500 0.500 0.500
Y 0.000 0.500 0.000
Y 0.000 0.000 0.500
Y 0.500 0.000 0.000
F 0.000 0.000 0.000

---

VASP calculation (GGA+U) on an optimized crystal structure of Y2CrF8.

Computed properties:
The calculation puts the calculated total energy at -6.848 eV per atom. The volume comes out at 140.7 Å³ per cell.

Cell: 3.480 5.727 7.568 Å, 106.15 103.29 90.00°
Fractional coordinates of all 11 atoms:
F 0.216 0.333 0.433
F 0.681 0.968 0.361
F 0.597 0.486 0.194
F 0.040 0.837 0.080
F 0.784 0.667 0.567
F 0.319 0.032 0.639
F 0.403 0.514 0.806
F 0.960 0.163 0.920
Y 0.821 0.305 0.642
Y 0.179 0.695 0.358
Cr 0.500 0.000 0.000

---

VASP calculation (GGA+U) on an optimized crystal structure of YCrF5.

Computed properties:
The volume comes out at 122.3 Å³ per cell. For the distance to the lowest polymorph of the same formula, the calculation gives 85 meV per atom.

Cell: 5.819 5.819 5.819 Å, 137.37 106.71 88.67°
Fractional coordinates of all 7 atoms:
F 0.236 0.236 0.000
F 0.500 0.000 0.500
F 0.816 0.500 0.316
F 0.184 0.500 0.684
F 0.764 0.764 0.000
Cr 0.000 0.000 0.000
Y 0.500 0.500 0.000

---

VASP calculation (GGA+U) on an optimized crystal structure of YCr2F8.

Computed properties:
The calculation puts the calculated total energy at -6.424 eV per atom. The volume comes out at 156.2 Å³ per cell.

Cell: 4.382 7.225 6.119 Å, 126.18 87.82 90.00°
Fractional coordinates of all 11 atoms:
Y 0.000 0.000 0.000
F 0.739 0.816 0.633
F 0.245 0.588 0.175
F 0.752 0.877 0.211
F 0.261 0.184 0.367
F 0.247 0.666 0.789
F 0.248 0.123 0.789
F 0.755 0.412 0.825
F 0.753 0.334 0.211
Cr 0.740 0.619 0.237
Cr 0.260 0.381 0.763

---

VASP calculation (GGA+U) on an optimized crystal structure of YCr3F.

Computed properties:
The volume comes out at 102.8 Å³ per cell. For the distance to the lowest polymorph of the same formula, the calculation gives 0 meV per atom.

Cell: 4.685 4.685 4.685 Å, 90.00 90.00 90.00°
Fractional coordinates of all 5 atoms:
Cr 0.000 0.000 0.500
Cr 0.500 0.000 0.000
Cr 0.000 0.500 0.000
F 0.000 0.000 0.000
Y 0.500 0.500 0.500

---

VASP calculation (GGA+U) on an optimized crystal structure of YCrF5.

Computed properties:
The volume comes out at 500.9 Å³ per cell. For the distance to the lowest polymorph of the same formula, the calculation gives 0 meV per atom.

Cell: 5.738 8.940 10.590 Å, 90.00 90.00 112.78°
Fractional coordinates of all 28 atoms:
F 0.947 0.157 0.119
F 0.996 0.883 0.296
F 0.589 0.942 0.892
F 0.505 0.853 0.600
F 0.474 0.268 0.898
F 0.995 0.647 0.100
F 0.504 0.617 0.796
F 0.004 0.117 0.704
F 0.495 0.147 0.400
F 0.026 0.232 0.398
F 0.974 0.768 0.602
F 0.089 0.442 0.608
F 0.553 0.343 0.619
F 0.526 0.732 0.102
F 0.053 0.843 0.881
F 0.411 0.058 0.108
F 0.005 0.353 0.900
F 0.496 0.383 0.204
F 0.447 0.657 0.381
F 0.911 0.558 0.392
Y 0.215 0.141 0.258
Y 0.715 0.641 0.242
Y 0.785 0.859 0.742
Y 0.285 0.359 0.758
Cr 0.712 0.206 0.003
Cr 0.212 0.706 0.497
Cr 0.288 0.794 0.997
Cr 0.788 0.294 0.503

---

> Among the records above, which one has the lowest volume?

number 5